Computed, not measured: crystalline TcHgAs2 at its relaxed geometry at the PBE level of DFT.

The structure in POSCAR format:
```
TcHgAs2
1.0
-2.1004 -2.7420 3.1995
2.5964 -2.6698 2.8805
0.2942 1.0711 4.5752
As Tc Hg
2 1 1
Direct
0.2500 0.2500 0.2500
0.0000 0.0000 0.0000
0.7500 0.7500 0.7500
0.5000 0.5000 0.5000
```

Computed properties:
The calculation puts the theoretical density at 10.09 g/cm3. Its magnetization is 0.263 μB/atom. The value obtained for the total DFT energy (no corrections) is -0.3119 Ry/atom. Its density of states at the Fermi level is 3.270 states/eV/f.u. The calculation puts the formation energy from the elements at 0.7485 eV/atom. The space group is F-43m, No. 216.